Record 1
Compound: SrZnCu2
Source: Alexandria via LeMat-Bulk
Functional: GGA-PBE
Structure: optimized geometry

Calculated values
The energy comes out at -10.9 eV per cell. The calculation puts the formation energy at 0.0545 eV per atom. For the density, the calculation gives 6.029 g cm⁻³.

Cell: 3.3620 3.3620 6.8257 Å, 90.00 90.00 90.00°
With the nearest neighbours (Å) after each atom.
Space group P4mm (No. 99)
Symmetry-distinct sites (fractional):
Sr 0.0000 0.0000 0.0000 x1  5 Cu 3.19-3.24, 4 Zn 3.29, 4 Sr 3.36
Zn 0.5000 0.5000 0.3339 x1  5 Cu 2.43-2.71
Cu 0.0000 0.0000 0.5249 x1  4 Cu 2.63, 4 Zn 2.71
Cu 0.5000 0.5000 0.6893 x1  1 Zn 2.43, 4 Cu 2.63

---

Record 2
Compound: Li2PmPt4
Source: Alexandria via LeMat-Bulk
Functional: GGA-PBE
Structure: optimized geometry

Calculated values
The energy comes out at -74.6 eV per cell. The calculation puts the formation energy at -0.6522 eV per atom. For the density, the calculation gives 12.891 g cm⁻³.

Cell: 6.9077 6.9077 5.0711 Å, 90.00 90.00 90.00°
With the nearest neighbours (Å) after each atom.
Space group I4/mmm (No. 139)
Symmetry-distinct sites (fractional):
Li 0.0000 0.5000 0.2500 x4  2 Li 2.54, 8 Pt 2.80
Pm 0.0000 0.0000 0.0000 x2  12 Pt 2.94-3.20
Pt 0.1994 0.1994 0.5000 x8  4 Pt 2.72-2.75, 4 Li 2.80, 1 Pm 2.94